{
  "formula": "NaMo",
  "functional": "GGA-PBE",
  "state": "relaxed",
  "lattice_angstrom": [[-2.078, 2.377, -3.589], [-1.558, -4.357, 1.199], [-3.522, 2.227, 3.514]],
  "species": ["Mo", "Mo", "Na", "Na"],
  "frac_coords": [[0.333, 0.667, 0.250], [0.667, 0.333, 0.750], [0.000, 0.000, 0.000], [0.000, 0.000, 0.500]],
  "final_energy_ev_per_atom": -3.636
}

{
  "formula": "NaMo",
  "functional": "GGA-PBE",
  "state": "relaxed",
  "lattice_angstrom": [[0.000, 3.499, 3.499], [3.499, 0.000, 3.499], [3.499, 3.499, 0.000]],
  "species": ["Mo", "Na"],
  "frac_coords": [[0.000, 0.000, 0.000], [0.250, 0.250, 0.250]],
  "final_energy_ev_per_atom": -3.301
}

{
  "formula": "NaMo",
  "functional": "GGA-PBE",
  "state": "relaxed",
  "lattice_angstrom": [[-1.382, 1.485, -1.855], [-1.366, -1.452, 1.892], [0.100, 4.444, 3.482]],
  "species": ["Mo", "Na"],
  "frac_coords": [[0.667, 0.333, 0.750], [0.333, 0.667, 0.250]],
  "final_energy_ev_per_atom": -5.171
}

{
  "formula": "NaMo",
  "functional": "GGA-PBE",
  "state": "relaxed",
  "lattice_angstrom": [[-4.564, -1.358, -0.036], [3.430, -3.199, 0.822], [-0.288, 0.846, 4.490]],
  "species": ["Mo", "Mo", "Na", "Na"],
  "frac_coords": [[0.000, 0.000, 0.000], [0.000, 0.000, 0.500], [0.333, 0.667, 0.250], [0.667, 0.333, 0.750]],
  "final_energy_ev_per_atom": -4.339
}

{
  "formula": "NaMo",
  "functional": "GGA-PBE",
  "state": "relaxed",
  "lattice_angstrom": [[0.000, 3.011, 3.011], [3.011, 0.000, 3.011], [3.011, 3.011, 0.000]],
  "species": ["Mo", "Na"],
  "frac_coords": [[0.000, 0.000, 0.000], [0.500, 0.500, 0.500]],
  "final_energy_ev_per_atom": -3.611
}

{
  "formula": "Na2Mo",
  "functional": "GGA-PBE",
  "state": "relaxed",
  "lattice_angstrom": [[-5.184, 1.213, 3.342], [2.659, -5.689, 0.278], [4.490, 2.397, 6.094]],
  "species": ["Mo", "Mo", "Mo", "Mo", "Na", "Na", "Na", "Na", "Na", "Na", "Na", "Na"],
  "frac_coords": [[0.667, 0.333, 0.119], [0.667, 0.333, 0.381], [0.333, 0.667, 0.619], [0.333, 0.667, 0.881], [0.000, 0.000, 0.000], [0.184, 0.368, 0.250], [0.184, 0.816, 0.250], [0.632, 0.816, 0.250], [0.000, 0.000, 0.500], [0.368, 0.184, 0.750], [0.816, 0.184, 0.750], [0.816, 0.632, 0.750]],
  "final_energy_ev_per_atom": -3.495
}

{
  "formula": "NaMo2",
  "functional": "GGA-PBE",
  "state": "relaxed",
  "lattice_angstrom": [[3.374, 2.338, 3.502], [-1.359, 4.661, 2.354], [-1.219, 0.113, 5.255]],
  "species": ["Mo", "Mo", "Mo", "Mo", "Na", "Na"],
  "frac_coords": [[0.625, 0.625, 0.125], [0.625, 0.125, 0.625], [0.125, 0.625, 0.625], [0.625, 0.625, 0.625], [0.000, 0.000, 0.000], [0.250, 0.250, 0.250]],
  "final_energy_ev_per_atom": -6.722
}

{
  "formula": "Na2Mo",
  "functional": "GGA-PBE",
  "state": "relaxed",
  "lattice_angstrom": [[0.000, 3.819, 3.819], [3.819, 0.000, 3.819], [3.819, 3.819, 0.000]],
  "species": ["Mo", "Mo", "Na", "Na", "Na", "Na"],
  "frac_coords": [[0.500, 0.500, 0.500], [0.750, 0.750, 0.750], [0.125, 0.125, 0.125], [0.625, 0.125, 0.125], [0.125, 0.625, 0.125], [0.125, 0.125, 0.625]],
  "final_energy_ev_per_atom": -3.103
}

{
  "formula": "NaMo5",
  "functional": "GGA-PBE",
  "state": "relaxed",
  "lattice_angstrom": [[-3.204, -2.654, -3.507], [5.335, 0.433, -0.980], [0.698, -3.704, 2.166]],
  "species": ["Mo", "Mo", "Mo", "Mo", "Mo", "Na"],
  "frac_coords": [[0.667, 0.333, 0.000], [0.333, 0.667, 0.000], [0.500, 0.000, 0.500], [0.000, 0.500, 0.500], [0.500, 0.500, 0.500], [0.000, 0.000, 0.000]],
  "final_energy_ev_per_atom": -8.560
}

{
  "formula": "NaNdMo",
  "functional": "GGA-PBE",
  "state": "relaxed",
  "lattice_angstrom": [[0.000, 3.528, 3.528], [3.528, 0.000, 3.528], [3.528, 3.528, 0.000]],
  "species": ["Mo", "Na", "Nd"],
  "frac_coords": [[0.250, 0.250, 0.250], [0.750, 0.750, 0.750], [0.000, 0.000, 0.000]],
  "final_energy_ev_per_atom": -4.093
}

{
  "formula": "NaMoOs",
  "functional": "GGA-PBE",
  "state": "relaxed",
  "lattice_angstrom": [[0.000, 3.035, 3.035], [3.035, 0.000, 3.035], [3.035, 3.035, 0.000]],
  "species": ["Mo", "Na", "Os"],
  "frac_coords": [[0.250, 0.250, 0.250], [0.750, 0.750, 0.750], [0.000, 0.000, 0.000]],
  "final_energy_ev_per_atom": -6.642
}

{
  "formula": "NaYMoOs",
  "functional": "GGA-PBE",
  "state": "relaxed",
  "lattice_angstrom": [[-1.339, -4.559, 0.705], [-4.383, -1.449, -1.329], [-0.517, -2.958, -3.749]],
  "species": ["Mo", "Na", "Os", "Y"],
  "frac_coords": [[0.500, 0.500, 0.500], [0.750, 0.750, 0.750], [0.000, 0.000, 0.000], [0.250, 0.250, 0.250]],
  "final_energy_ev_per_atom": -6.399
}